No. 1
! FeRe2Sb (SCAN, single point on PBEsol structure); values from VASP
! DFT total energy (eV per atom): -48.790
&SYSTEM
  ibrav = 0, nat = 4, ntyp = 3
/
ATOMIC_SPECIES
Re 186.21 Re.upf
Fe 55.84 Fe.upf
Sb 121.76 Sb.upf
CELL_PARAMETERS angstrom
3.835 0.000 0.000
0.000 3.835 0.000
0.000 0.000 4.075
ATOMIC_POSITIONS crystal
Re 0.500 0.000 0.000
Fe 0.000 0.000 0.500
Sb 0.500 0.500 0.500
Re 0.000 0.500 0.000

=====

No. 2
! Fe2ReSb (SCAN, single point on PBEsol structure); values from VASP
! DFT total energy (eV per atom): -35.874
&SYSTEM
  ibrav = 0, nat = 4, ntyp = 3
/
ATOMIC_SPECIES
Re 186.21 Re.upf
Sb 121.76 Sb.upf
Fe 55.84 Fe.upf
CELL_PARAMETERS angstrom
4.303 0.000 0.000
2.152 3.727 0.000
2.152 1.242 3.513
ATOMIC_POSITIONS crystal
Re 0.500 0.500 0.500
Sb 0.250 0.250 0.250
Fe 0.750 0.750 0.750
Fe 0.000 0.000 0.000

=====

No. 3
! FeRe2Sb (SCAN, single point on PBEsol structure); values from VASP
! DFT total energy (eV per atom): -48.921
&SYSTEM
  ibrav = 0, nat = 4, ntyp = 3
/
ATOMIC_SPECIES
Re 186.21 Re.upf
Sb 121.76 Sb.upf
Fe 55.84 Fe.upf
CELL_PARAMETERS angstrom
-0.277 -0.846 -2.993
4.180 -1.241 -0.036
-3.121 -2.933 2.746
ATOMIC_POSITIONS crystal
Re 0.992 0.992 0.984
Sb 0.511 0.511 0.022
Re 0.755 0.255 0.511
Fe 0.242 0.742 0.484

=====

No. 4
! Fe3ReSb (SCAN, single point on PBEsol structure); values from VASP
! DFT total energy (eV per atom): -30.456
&SYSTEM
  ibrav = 0, nat = 5, ntyp = 3
/
ATOMIC_SPECIES
Sb 121.76 Sb.upf
Fe 55.84 Fe.upf
Re 186.21 Re.upf
CELL_PARAMETERS angstrom
4.464 0.000 0.000
0.000 4.464 0.000
0.000 0.000 4.464
ATOMIC_POSITIONS crystal
Sb 0.000 0.000 0.000
Fe 0.000 0.000 0.500
Re 0.500 0.500 0.500
Fe 0.000 0.500 0.000
Fe 0.500 0.000 0.000

=====

No. 5
! FeReSb2 (SCAN, single point on PBEsol structure); values from VASP
! DFT total energy (eV per atom): -40.383
&SYSTEM
  ibrav = 0, nat = 4, ntyp = 3
/
ATOMIC_SPECIES
Fe 55.84 Fe.upf
Sb 121.76 Sb.upf
Re 186.21 Re.upf
CELL_PARAMETERS angstrom
-2.742 1.284 -0.937
-0.818 -3.280 -2.101
-2.503 -2.165 4.356
ATOMIC_POSITIONS crystal
Fe 0.000 0.000 0.462
Sb 0.000 0.000 0.949
Sb 0.500 0.500 0.305
Re 0.500 0.500 0.784

=====

No. 6
! FeRe2Sb (SCAN, single point on PBEsol structure); values from VASP
! DFT total energy (eV per atom): -48.966
&SYSTEM
  ibrav = 0, nat = 4, ntyp = 3
/
ATOMIC_SPECIES
Re 186.21 Re.upf
Sb 121.76 Sb.upf
Fe 55.84 Fe.upf
CELL_PARAMETERS angstrom
-2.254 -1.757 -0.641
1.210 -2.517 2.641
-3.001 2.483 3.742
ATOMIC_POSITIONS crystal
Re 0.000 0.000 0.992
Sb 0.000 0.000 0.484
Fe 0.500 0.500 0.244
Re 0.500 0.500 0.781

=====

No. 7
! Fe2ReSb (SCAN, single point on PBEsol structure); values from VASP
! DFT total energy (eV per atom): -35.536
&SYSTEM
  ibrav = 0, nat = 4, ntyp = 3
/
ATOMIC_SPECIES
Re 186.21 Re.upf
Sb 121.76 Sb.upf
Fe 55.84 Fe.upf
CELL_PARAMETERS angstrom
3.879 0.000 0.000
0.000 3.879 0.000
-1.940 -1.940 3.533
ATOMIC_POSITIONS crystal
Re 0.500 0.500 0.000
Sb 0.000 0.000 0.000
Fe 0.750 0.250 0.500
Fe 0.250 0.750 0.500

=====

No. 8
! FeReSbTe2 (SCAN, single point on PBEsol structure); values from VASP
! DFT total energy (eV per atom): -38.799
&SYSTEM
  ibrav = 0, nat = 5, ntyp = 4
/
ATOMIC_SPECIES
Te 127.60 Te.upf
Sb 121.76 Sb.upf
Fe 55.84 Fe.upf
Re 186.21 Re.upf
CELL_PARAMETERS angstrom
4.713 0.000 0.000
0.000 4.813 0.000
0.000 0.000 4.813
ATOMIC_POSITIONS crystal
Te 0.000 0.500 0.000
Sb 0.500 0.000 0.000
Fe 0.000 0.000 0.000
Re 0.500 0.500 0.500
Te 0.000 0.000 0.500

=====

No. 9
! Sc2FeRe (SCAN, single point on PBEsol structure); values from VASP
! Energy above the lowest structure with this stoichiometry (meV per atom): 0.0
&SYSTEM
  ibrav = 0, nat = 4, ntyp = 3
/
ATOMIC_SPECIES
Re 186.21 Re.upf
Sc 44.96 Sc.upf
Fe 55.84 Fe.upf
CELL_PARAMETERS angstrom
3.070 0.000 0.000
0.000 4.451 0.000
-1.535 -2.226 4.646
ATOMIC_POSITIONS crystal
Re 0.773 0.273 0.545
Sc 0.234 0.734 0.467
Sc 0.011 0.011 0.021
Fe 0.483 0.483 0.966

=====

No. 10
! Sc2FeRe (SCAN, single point on PBEsol structure); values from VASP
! Energy above the lowest structure with this stoichiometry (meV per atom): 185.0
&SYSTEM
  ibrav = 0, nat = 4, ntyp = 3
/
ATOMIC_SPECIES
Fe 55.84 Fe.upf
Re 186.21 Re.upf
Sc 44.96 Sc.upf
CELL_PARAMETERS angstrom
3.281 0.000 0.000
0.000 4.166 0.000
0.000 0.000 4.626
ATOMIC_POSITIONS crystal
Fe 0.500 0.500 0.000
Re 0.000 0.500 0.500
Sc 0.000 0.000 0.000
Sc 0.500 0.000 0.500

=====

No. 11
! ScFe2Re (SCAN, single point on PBEsol structure); values from VASP
! DFT total energy (eV per atom): -30.285
&SYSTEM
  ibrav = 0, nat = 4, ntyp = 3
/
ATOMIC_SPECIES
Fe 55.84 Fe.upf
Re 186.21 Re.upf
Sc 44.96 Sc.upf
CELL_PARAMETERS angstrom
2.647 0.000 0.000
-0.733 4.743 0.031
-0.733 -2.040 4.282
ATOMIC_POSITIONS crystal
Fe 0.000 0.000 0.500
Re 0.500 0.000 0.000
Fe 0.000 0.500 0.000
Sc 0.500 0.500 0.500

=====

No. 12
! ScFe2Re (SCAN, single point on PBEsol structure); values from VASP
! DFT total energy (eV per atom): -30.377
&SYSTEM
  ibrav = 0, nat = 4, ntyp = 3
/
ATOMIC_SPECIES
Fe 55.84 Fe.upf
Sc 44.96 Sc.upf
Re 186.21 Re.upf
CELL_PARAMETERS angstrom
2.907 0.000 0.000
0.000 2.907 0.000
0.000 0.000 6.560
ATOMIC_POSITIONS crystal
Fe 0.500 0.500 0.238
Sc 0.500 0.500 0.766
Re 0.000 0.000 0.456
Fe 0.000 0.000 0.040

=====

No. 13
! Sc2FeRe (SCAN, single point on PBEsol structure); values from VASP
! Energy above the lowest structure with this stoichiometry (meV per atom): 98.4
&SYSTEM
  ibrav = 0, nat = 4, ntyp = 3
/
ATOMIC_SPECIES
Sc 44.96 Sc.upf
Fe 55.84 Fe.upf
Re 186.21 Re.upf
CELL_PARAMETERS angstrom
3.192 0.000 0.000
0.000 4.491 0.000
0.000 0.000 4.491
ATOMIC_POSITIONS crystal
Sc 0.000 0.500 0.000
Fe 0.500 0.500 0.500
Re 0.500 0.000 0.000
Sc 0.000 0.000 0.500

=====

No. 14
! Sc3FeRe (SCAN, single point on PBEsol structure); values from VASP
! DFT total energy (eV per atom): -25.749
&SYSTEM
  ibrav = 0, nat = 5, ntyp = 3
/
ATOMIC_SPECIES
Sc 44.96 Sc.upf
Fe 55.84 Fe.upf
Re 186.21 Re.upf
CELL_PARAMETERS angstrom
4.940 0.000 0.000
0.000 4.940 0.000
0.000 0.000 4.940
ATOMIC_POSITIONS crystal
Sc 0.500 0.000 0.000
Fe 0.500 0.500 0.500
Sc 0.000 0.000 0.500
Sc 0.000 0.500 0.000
Re 0.000 0.000 0.000

=====

No. 15
! ScTiFeRe2 (SCAN, single point on PBEsol structure); values from VASP
! DFT total energy (eV per atom): -36.533
&SYSTEM
  ibrav = 0, nat = 5, ntyp = 4
/
ATOMIC_SPECIES
Ti 47.87 Ti.upf
Sc 44.96 Sc.upf
Fe 55.84 Fe.upf
Re 186.21 Re.upf
CELL_PARAMETERS angstrom
-0.474 3.616 -2.658
-3.694 -1.832 -1.833
-2.538 1.976 3.140
ATOMIC_POSITIONS crystal
Ti 0.000 0.000 0.000
Sc 0.000 0.000 0.500
Fe 0.500 0.500 0.500
Re 0.500 0.000 0.000
Re 0.000 0.500 0.000

=====

No. 16
! FeReSe2 (SCAN, single point on PBEsol structure); values from VASP
! Energy above the lowest structure with this stoichiometry (meV per atom): 685.1
&SYSTEM
  ibrav = 0, nat = 4, ntyp = 3
/
ATOMIC_SPECIES
Se 78.96 Se.upf
Fe 55.84 Fe.upf
Re 186.21 Re.upf
CELL_PARAMETERS angstrom
-1.695 1.935 1.554
-0.879 -2.900 -0.253
4.022 -1.799 6.628
ATOMIC_POSITIONS crystal
Se 0.000 0.000 0.745
Fe 0.500 0.000 0.500
Re 0.500 0.000 0.000
Se 0.000 0.000 0.255

=====

No. 17
! FeReSe2 (SCAN, single point on PBEsol structure); values from VASP
! Energy above the lowest structure with this stoichiometry (meV per atom): 0.0
&SYSTEM
  ibrav = 0, nat = 4, ntyp = 3
/
ATOMIC_SPECIES
Fe 55.84 Fe.upf
Re 186.21 Re.upf
Se 78.96 Se.upf
CELL_PARAMETERS angstrom
-2.324 2.335 -0.535
-1.041 -1.761 -3.161
-2.349 -3.576 5.007
ATOMIC_POSITIONS crystal
Fe 0.500 0.000 0.000
Re 0.000 0.500 0.000
Se 0.139 0.139 0.278
Se 0.861 0.861 0.722

=====

No. 18
! FeReSe2 (SCAN, single point on PBEsol structure); values from VASP
! Energy above the lowest structure with this stoichiometry (meV per atom): 816.3
&SYSTEM
  ibrav = 0, nat = 4, ntyp = 3
/
ATOMIC_SPECIES
Se 78.96 Se.upf
Re 186.21 Re.upf
Fe 55.84 Fe.upf
CELL_PARAMETERS angstrom
3.039 0.000 0.000
0.000 3.954 0.000
0.000 0.000 5.202
ATOMIC_POSITIONS crystal
Se 0.000 0.000 0.000
Re 0.000 0.500 0.500
Fe 0.500 0.500 0.000
Se 0.500 0.000 0.500

=====

No. 19
! FeReSe2 (SCAN, single point on PBEsol structure); values from VASP
! Energy above the lowest structure with this stoichiometry (meV per atom): 328.5
&SYSTEM
  ibrav = 0, nat = 4, ntyp = 3
/
ATOMIC_SPECIES
Se 78.96 Se.upf
Fe 55.84 Fe.upf
Re 186.21 Re.upf
CELL_PARAMETERS angstrom
3.028 0.000 0.000
1.514 2.623 0.000
1.514 0.874 7.386
ATOMIC_POSITIONS crystal
Se 0.753 0.753 0.741
Fe 0.500 0.500 0.500
Se 0.247 0.247 0.259
Re 0.000 0.000 0.000

=====

No. 20
! FeRe3Si (SCAN, single point on PBEsol structure); values from VASP
! DFT total energy (eV per atom): -46.902
&SYSTEM
  ibrav = 0, nat = 5, ntyp = 3
/
ATOMIC_SPECIES
Re 186.21 Re.upf
Si 28.09 Si.upf
Fe 55.84 Fe.upf
CELL_PARAMETERS angstrom
4.337 0.000 0.000
0.000 4.337 0.000
0.000 0.000 4.337
ATOMIC_POSITIONS crystal
Re 0.000 0.500 0.000
Re 0.000 0.000 0.500
Re 0.500 0.000 0.000
Si 0.000 0.000 0.000
Fe 0.500 0.500 0.500

=====

Number 1: size of the total moment 3.14 μB/f.u.. Number 2: size of the total moment 5.07 μB/f.u.. Number 3: size of the total moment 2.13 μB/f.u.. Number 4: size of the total moment 6.51 μB/f.u.. Number 5: size of the total moment 2.00 μB/f.u.. Number 6: size of the total moment 2.77 μB/f.u.. Number 7: size of the total moment 0.00 μB/f.u.. Number 8: size of the total moment 0.91 μB/f.u.. Number 9: size of the total moment 1.32 μB/f.u.. Number 10: size of the total moment 1.55 μB/f.u.. Number 11: size of the total moment 3.90 μB/f.u.. Number 12: size of the total moment 3.81 μB/f.u.. Number 13: size of the total moment 2.23 μB/f.u.. Number 14: size of the total moment 2.94 μB/f.u.. Number 15: size of the total moment 2.80 μB/f.u.. Number 16: size of the total moment 4.01 μB/f.u.. Number 17: size of the total moment 3.49 μB/f.u.. Number 18: size of the total moment 3.51 μB/f.u.. Number 19: size of the total moment 2.39 μB/f.u.. Number 20: size of the total moment 2.74 μB/f.u..